The following is a DFT calculation (GGA-PBE) of a relaxed structure of Ta2Pd2W.

Magnetization in μB/cell: 0.00
Energy relative to the lowest polymorph listed for this composition in meV/atom: 115
Energy in eV per atom: -9.207
Energy of formation from the pure elements in eV/atom: 0.20

Lattice parameters (Å, degrees): 7.742 7.742 2.877 90.00 90.00 90.00
Sites, in units of the cell vectors:
Pd 0.127 0.627 0.500
Pd 0.627 0.873 0.500
Pd 0.873 0.373 0.500
Pd 0.373 0.127 0.500
W 0.000 0.000 0.000
W 0.500 0.500 0.000
Ta 0.331 0.831 0.000
Ta 0.831 0.669 0.000
Ta 0.669 0.169 0.000
Ta 0.169 0.331 0.000

---

The following is a DFT calculation (GGA-PBE) of a relaxed structure of Mg3InPb2.

Magnetization in μB/cell: 0.00
Energy relative to the lowest polymorph listed for this composition in meV/atom: 0
Energy in eV per atom: -2.551
Energy of formation from the pure elements in eV/atom: -0.06

Lattice parameters (Å, degrees): 5.407 8.156 6.952 90.00 90.00 83.37
Sites, in units of the cell vectors:
Mg 0.834 0.337 0.758
Mg 0.500 0.000 0.245
Mg 0.166 0.663 0.242
Mg 0.834 0.337 0.242
Mg 0.166 0.663 0.758
Mg 0.500 0.000 0.755
In 0.339 0.336 0.000
In 0.661 0.664 0.000
Pb 0.000 0.000 0.000
Pb 0.000 0.000 0.500
Pb 0.334 0.332 0.500
Pb 0.666 0.668 0.500

---

The following is a DFT calculation (GGA-PBE) of a relaxed structure of Ba2Lu2CuPtO8.

E_form (uncorrected) in meV per atom: -2307
Magnetization in μB/cell: 4.14
Energy in eV per atom: -6.785

Lattice parameters (Å, degrees): 5.663 10.350 13.252 90.00 90.00 90.00
Sites, in units of the cell vectors:
Ba 0.250 0.409 0.424
Ba 0.750 0.591 0.576
Ba 0.750 0.909 0.076
Ba 0.250 0.091 0.924
Ba 0.250 0.688 0.206
Ba 0.750 0.312 0.794
Ba 0.750 0.188 0.294
Ba 0.250 0.812 0.706
Lu 0.250 0.014 0.418
Lu 0.750 0.986 0.582
Lu 0.750 0.514 0.082
Lu 0.250 0.486 0.918
Lu 0.250 0.316 0.141
Lu 0.750 0.684 0.859
Lu 0.750 0.816 0.359
Lu 0.250 0.184 0.641
Cu 0.250 0.736 0.460
Cu 0.750 0.264 0.540
Cu 0.750 0.236 0.040
Cu 0.250 0.764 0.960
Pt 0.250 0.035 0.196
Pt 0.750 0.965 0.804
Pt 0.750 0.535 0.304
Pt 0.250 0.465 0.696
O 0.250 0.188 0.299
O 0.750 0.812 0.701
O 0.750 0.688 0.201
O 0.250 0.312 0.799
O 0.509 0.446 0.213
O 0.491 0.554 0.787
O 0.491 0.946 0.287
O 0.009 0.554 0.787
O 0.509 0.054 0.713
O 0.991 0.446 0.213
O 0.991 0.054 0.713
O 0.009 0.946 0.287
O 0.011 0.146 0.115
O 0.989 0.854 0.885
O 0.989 0.646 0.385
O 0.511 0.854 0.885
O 0.011 0.354 0.615
O 0.489 0.146 0.115
O 0.489 0.354 0.615
O 0.511 0.646 0.385
O 0.504 0.368 0.009
O 0.496 0.632 0.991
O 0.496 0.868 0.491
O 0.004 0.632 0.991
O 0.504 0.132 0.509
O 0.996 0.368 0.009
O 0.996 0.132 0.509
O 0.004 0.868 0.491
O 0.250 0.605 0.587
O 0.750 0.395 0.413
O 0.750 0.105 0.913
O 0.250 0.895 0.087

---

The following is a DFT calculation (GGA-PBE) of a relaxed structure of Fe2RhW.

Magnetization in μB/cell: 3.37
Energy relative to the lowest polymorph listed for this composition in meV/atom: 37
Energy in eV per atom: -9.278
Energy of formation from the pure elements in eV/atom: 0.03

Lattice parameters (Å, degrees): 4.593 4.593 4.593 131.74 131.72 70.66
Sites, in units of the cell vectors:
Fe 0.000 0.000 0.000
Fe 0.500 0.500 0.000
Rh 0.750 0.250 0.500
W 0.250 0.750 0.500